Record 1
Density functional theory data (PBE) for an optimized crystal structure of Sr2CaNiAg.

The total energy is -13.9 eV per cell. Its density of states at the Fermi level is 0.454 states/eV/atom. The crystal system is tetragonal.

It has space group P4/mmm (No. 123), with a = 5.702 Å, b = 5.702 Å, c = 5.341 Å, α = 90.00°, β = 90.00° and γ = 90.00°. Symmetry generates all atoms from Sr at (0.000, 0.500, 0.000), Ca at (0.000, 0.000, 0.500), Ni at (0.000, 0.000, 0.000) and Ag at (0.500, 0.500, 0.500).

=====

Record 2
Density functional theory data (PBE) for an optimized crystal structure of Np2Be4GaGe3.

The total energy is -58.9 eV per cell. Its density of states at the Fermi level is 1.023 states/eV/atom. The crystal system is tetragonal.

It has space group P-4m2 (No. 115), with a = 3.985 Å, b = 3.985 Å, c = 9.620 Å, α = 90.00°, β = 90.00° and γ = 90.00°. Symmetry generates all atoms from Np at (0.000, 0.500, 0.248), Be at (0.000, 0.000, 0.000), Be at (0.000, 0.500, 0.635), Be at (0.500, 0.500, 0.000), Ga at (0.000, 0.000, 0.500), Ge at (0.000, 0.500, 0.869) and Ge at (0.500, 0.500, 0.500).